The following is a DFT calculation (PBE) of a relaxed structure of TbPmNd2Bi5.

It has space group P4/mmm (No. 123), with a = 5.439 Å, b = 5.439 Å, c = 12.085 Å, α = 90.00°, β = 90.00° and γ = 90.00°. The asymmetric unit holds Tb at (0.000, 0.000, 0.000), Pm at (0.000, 0.000, 0.500), Nd at (0.500, 0.500, 0.228), Bi at (0.000, 0.000, 0.252), Bi at (0.000, 0.500, 0.000) and Bi at (0.500, 0.500, 0.500).

As for the density of states at the Fermi level: 6.24 states/eV/cell. The magnetization is 0.0 μB/f.u. The value obtained for the formation energy from the elements is -0.1326 eV/atom.

---

The following is a DFT calculation (PBE) of a relaxed structure of YIr3.

It has space group R-3m (No. 166, hexagonal axes), with a = 9.0415 Å, b = 9.0415 Å, c = 2.8771 Å, α = 90.00°, β = 90.00° and γ = 120.00°. The asymmetric unit holds Y at (0.0000, 0.0000, 0.0000) and Ir at (0.0000, 0.5000, 0.0000).

As for the density of states at the Fermi level: 16.29 states/eV/cell. The magnetization is 0.0 μB/f.u. The value obtained for the formation energy from the elements is 0.0206 eV/atom.

---

The following is a DFT calculation (PBE) of a relaxed structure of Ca2PRh.

It has space group Imm2 (No. 44), with a = 3.500 Å, b = 4.476 Å, c = 11.785 Å, α = 90.00°, β = 90.00° and γ = 90.00°. The asymmetric unit holds Ca at (0.000, 0.000, 0.000), Ca at (0.000, 0.500, 0.233), P at (0.000, 0.500, 0.816) and Rh at (0.000, 0.000, 0.448).

As for the density of states at the Fermi level: 0.97 states/eV/cell. The magnetization is 0.0 μB/f.u. The value obtained for the formation energy from the elements is -0.7132 eV/atom.

---

The following is a DFT calculation (PBE) of a relaxed structure of TlAsBr2.

It has space group P1 (No. 1), with a = 3.889 Å, b = 6.236 Å, c = 6.740 Å, α = 109.55°, β = 91.78° and γ = 106.91°. The asymmetric unit holds Tl at (0.000, 0.000, 0.000), As at (0.688, 0.413, 0.889), Br at (0.113, 0.210, 0.597) and Br at (0.340, 0.619, 0.188).

As for the density of states at the Fermi level: 0.20 states/eV/cell. The magnetization is 0.0 μB/f.u. As for the formation energy (no corrections): -0.256 eV/atom. For the energy relative to the lowest polymorph listed for this composition, the calculation gives 6 meV per atom.

---

The following is a DFT calculation (PBE) of a relaxed structure of TmFe2Co2.

It has space group I4/mmm (No. 139), with a = 3.896 Å, b = 3.896 Å, c = 19.369 Å, α = 90.00°, β = 90.00° and γ = 90.00°. The asymmetric unit holds Tm at (0.000, 0.000, 0.127), Fe at (0.000, 0.000, 0.315), Fe at (0.000, 0.500, 0.000), Co at (0.000, 0.000, 0.432) and Co at (0.000, 0.500, 0.250).

As for the density of states at the Fermi level: 18.73 states/eV/cell. The magnetization is 6.6 μB/f.u. The value obtained for the formation energy from the elements is -0.0606 eV/atom.

---

The following is a DFT calculation (PBE) of a relaxed structure of Na3CaSb.

It has space group Pm-3m (No. 221), with a = 5.949 Å, b = 5.949 Å, c = 5.949 Å, α = 90.00°, β = 90.00° and γ = 90.00°. The asymmetric unit holds Na at (0.000, 0.000, 0.500), Ca at (0.000, 0.000, 0.000) and Sb at (0.500, 0.500, 0.500).

As for the density of states at the Fermi level: 0.61 states/eV/cell. The magnetization is 0.0 μB/f.u. As for the formation energy (no corrections): 0.668 eV/atom. For the energy relative to the lowest polymorph listed for this composition, the calculation gives 706 meV per atom.

---

The following is a DFT calculation (PBE) of a relaxed structure of Tb5Cu4Pd.

It has space group P4/mmm (No. 123), with a = 3.477 Å, b = 3.477 Å, c = 17.681 Å, α = 90.00°, β = 90.00° and γ = 90.00°. The asymmetric unit holds Tb at (0.000, 0.000, 0.000), Tb at (0.000, 0.000, 0.199), Tb at (0.000, 0.000, 0.399), Cu at (0.500, 0.500, 0.099), Cu at (0.500, 0.500, 0.298) and Pd at (0.500, 0.500, 0.500).

As for the density of states at the Fermi level: 6.65 states/eV/cell. The magnetization is 0.0 μB/f.u. The value obtained for the formation energy from the elements is -0.3613 eV/atom.

---

The following is a DFT calculation (PBE) of a relaxed structure of MnGe2Pt7Pb2.

It has space group C2/m (No. 12), with a = 5.539 Å, b = 5.539 Å, c = 15.794 Å, α = 90.00°, β = 99.99° and γ = 90.00°. The asymmetric unit holds Mn at (0.000, 0.000, 0.000), Ge at (0.114, 0.500, 0.231), Pt at (0.000, 0.500, 0.000), Pt at (0.186, 0.250, 0.871), Pt at (0.193, 0.500, 0.387) and Pb at (0.211, 0.000, 0.422).

As for the density of states at the Fermi level: 10.68 states/eV/cell. The magnetization is 3.4 μB/f.u. The value obtained for the formation energy from the elements is -0.3171 eV/atom.